1.
VASP calculation (PBE) on an optimized crystal structure of LiTb2PaS5.

## Properties
uncorrected formation energy	-1.721	eV/atom
calculated density	6.35	Mg/m³
SG	No. 36

Cell and atoms, written as extended XYZ:
```
18
Lattice="1.928 -8.151 0.000 1.928 8.151 0.000 0.000 0.000 11.918" Properties=species:S:1:pos:R:3 pbc="T T T"
Li 1.928 7.914 5.959
Li 1.928 -7.914 0.000
Tb 1.928 2.062 3.822
Tb 1.928 1.772 8.534
Tb 1.928 -1.772 2.576
Tb 1.928 -2.062 9.781
Pa 1.928 3.253 0.367
Pa 1.928 -3.253 6.326
S 1.928 8.112 9.621
S 1.928 5.956 0.353
S 1.928 5.088 4.385
S 1.928 4.700 8.277
S 1.928 0.769 1.153
S 1.928 -0.769 7.112
S 1.928 -4.700 2.318
S 1.928 -5.088 10.344
S 1.928 -5.956 6.312
S 1.928 -8.112 3.662
```


2.
VASP calculation (PBE) on an optimized crystal structure of Y4Ga12Pt.

## Properties
calculated density	7.16	Mg/m³
calculated formation energy	-0.64	eV per atom
SG	No. 229

Cell and atoms, written as extended XYZ:
```
17
Lattice="-4.317 4.317 4.317 4.317 -4.317 4.317 4.317 4.317 -4.317" Properties=species:S:1:pos:R:3 pbc="T T T"
Y 2.159 2.159 -2.159
Y 2.159 -2.159 2.159
Y -2.159 2.159 2.159
Y 2.159 2.159 2.159
Ga 2.564 0.000 0.000
Ga 6.071 0.000 0.000
Ga 4.317 2.159 0.000
Ga 4.317 0.000 2.159
Ga 0.000 2.564 0.000
Ga 0.000 0.000 2.564
Ga 2.159 4.317 0.000
Ga 2.159 0.000 4.317
Ga 0.000 6.071 0.000
Ga 0.000 0.000 6.071
Ga 0.000 4.317 2.159
Ga 0.000 2.159 4.317
Pt 0.000 0.000 0.000
```


These records have V values of 374.5, 321.9 Å³ per cell, in the order they appear.